1.
# Ag2SbH2 (PBE, optimized geometry)
data_Ag2SbH2
_chemical_formula_sum 'Ag2 Sb1 H2'
_space_group_name_H-M_alt 'P 1'
_space_group_IT_number 1
_space_group_name_Hall 'P 1'
_cell_length_a 3.341
_cell_length_b 3.341
_cell_length_c 6.963
_cell_angle_alpha 76.12
_cell_angle_beta 76.12
_cell_angle_gamma 90.00
loop_
_atom_site_label
_atom_site_fract_x
_atom_site_fract_y
_atom_site_fract_z
Ag1 0.666 0.666 0.668
Ag2 0.334 0.334 0.332
H1 0.750 0.250 0.500
H2 0.250 0.750 0.500
Sb1 0.000 0.000 0.000
# - Final energy: -2.9138 eV per atom
# - Fermi-level density of states: 0.444 states/eV per atom

2.
# AgSbH2 (PBE, optimized geometry)
data_AgSbH2
_chemical_formula_sum 'Ag2 Sb2 H4'
_space_group_name_H-M_alt 'P 1'
_space_group_IT_number 1
_space_group_name_Hall 'P 1'
_cell_length_a 5.172
_cell_length_b 5.172
_cell_length_c 5.629
_cell_angle_alpha 62.65
_cell_angle_beta 62.65
_cell_angle_gamma 90.00
loop_
_atom_site_label
_atom_site_fract_x
_atom_site_fract_y
_atom_site_fract_z
H1 0.223 0.625 0.250
H2 0.375 0.473 0.750
H3 0.527 0.125 0.250
H4 0.875 0.777 0.750
Ag1 0.250 0.750 0.500
Ag2 0.500 0.500 0.000
Sb1 0.000 0.000 0.000
Sb2 0.750 0.250 0.500
# - Relative energy among the computed polymorphs: 0.000 eV/atom
# - Final energy: -2.9006 eV per atom
# - Fermi-level density of states: 0.263 states/eV per atom

3.
# Ag2Sb2H (PBE, optimized geometry)
data_Ag2Sb2H
_chemical_formula_sum 'Ag2 Sb2 H1'
_space_group_name_H-M_alt 'P 1'
_space_group_IT_number 1
_space_group_name_Hall 'P 1'
_cell_length_a 3.867
_cell_length_b 3.867
_cell_length_c 7.864
_cell_angle_alpha 75.77
_cell_angle_beta 75.77
_cell_angle_gamma 90.00
loop_
_atom_site_label
_atom_site_fract_x
_atom_site_fract_y
_atom_site_fract_z
Ag1 0.750 0.250 0.500
Ag2 0.250 0.750 0.500
Sb1 0.398 0.398 0.203
Sb2 0.602 0.602 0.797
H1 0.000 0.000 0.000
# - Relative energy among the computed polymorphs: 0.032 eV/atom
# - Final energy: -2.8632 eV per atom
# - Fermi-level density of states: 0.503 states/eV per atom

4.
# Sc2AgSbH (PBE, optimized geometry)
data_Sc2AgSbH
_chemical_formula_sum 'Sc2 Ag1 Sb1 H1'
_space_group_name_H-M_alt 'P 1'
_space_group_IT_number 1
_space_group_name_Hall 'P 1'
_cell_length_a 5.395
_cell_length_b 3.499
_cell_length_c 5.395
_cell_angle_alpha 90.00
_cell_angle_beta 90.00
_cell_angle_gamma 90.00
loop_
_atom_site_label
_atom_site_fract_x
_atom_site_fract_y
_atom_site_fract_z
H1 0.000 0.500 0.000
Sb1 0.500 0.500 0.500
Ag1 0.000 0.000 0.000
Sc1 0.500 0.000 0.000
Sc2 0.000 0.000 0.500
# - Relative energy among the computed polymorphs: 0.491 eV/atom
# - Final energy: -4.5633 eV per atom
# - Fermi-level density of states: 0.885 states/eV per atom

5.
# Sc2AgSbH (PBE, optimized geometry)
data_Sc2AgSbH
_chemical_formula_sum 'Sc2 Ag1 Sb1 H1'
_space_group_name_H-M_alt 'P 1'
_space_group_IT_number 1
_space_group_name_Hall 'P 1'
_cell_length_a 4.470
_cell_length_b 4.470
_cell_length_c 4.279
_cell_angle_alpha 90.00
_cell_angle_beta 90.00
_cell_angle_gamma 90.00
loop_
_atom_site_label
_atom_site_fract_x
_atom_site_fract_y
_atom_site_fract_z
H1 0.000 0.000 0.000
Sc1 0.500 0.000 0.000
Sc2 0.000 0.500 0.000
Ag1 0.000 0.000 0.500
Sb1 0.500 0.500 0.500
# - Relative energy among the computed polymorphs: 0.000 eV/atom
# - Final energy: -5.0539 eV per atom
# - Fermi-level density of states: 0.469 states/eV per atom

6.
# SmAgSbH (PBE, optimized geometry)
data_SmAgSbH
_chemical_formula_sum 'Sm2 Ag2 Sb2 H2'
_space_group_name_H-M_alt 'P 1'
_space_group_IT_number 1
_space_group_name_Hall 'P 1'
_cell_length_a 4.278
_cell_length_b 4.278
_cell_length_c 8.374
_cell_angle_alpha 90.00
_cell_angle_beta 90.00
_cell_angle_gamma 90.00
loop_
_atom_site_label
_atom_site_fract_x
_atom_site_fract_y
_atom_site_fract_z
Sb1 0.000 0.500 0.271
Sb2 0.500 0.000 0.729
Sm1 0.000 0.500 0.862
Sm2 0.500 0.000 0.138
H1 0.500 0.500 0.000
H2 0.000 0.000 0.000
Ag1 0.000 0.000 0.500
Ag2 0.500 0.500 0.500
# - Final energy: -4.3541 eV per atom
# - Fermi-level density of states: 0.083 states/eV per atom